Record 1
A relaxed Cs2Hg8Bi3 crystal. Source: Alexandria, functional PBE-GGA.

a b c (Å): 21.236 8.457 5.624
angles (deg): 90.00 103.65 90.00
Space group C2/m (No. 12)
Asymmetric unit:
1 Cs 0.204 0.000 0.214 (multiplicity 4)
2 Hg 0.042 0.000 0.757 (multiplicity 4)
3 Hg 0.131 0.271 0.630 (multiplicity 8)
4 Hg 0.149 0.500 0.155 (multiplicity 4)
5 Bi 0.000 0.307 0.000 (multiplicity 4)
6 Bi 0.000 0.500 0.500 (multiplicity 2)

VASP energy = -35.3 eV for the cell shown
N(E_F) = 0.267 states/eV per atom
Formation energy = -0.14 eV per atom


Record 2
A relaxed Cs3Hg2Bi5 crystal. Source: Alexandria, functional PBE-GGA.

a b c (Å): 13.582 16.843 7.665
angles (deg): 90.00 90.00 90.00
Space group Ibam (No. 72)
Asymmetric unit:
1 Cs 0.000 0.000 0.250 (multiplicity 4)
2 Cs 0.221 0.360 0.000 (multiplicity 8)
3 Hg 0.172 0.123 0.000 (multiplicity 8)
4 Bi 0.000 0.227 0.250 (multiplicity 8)
5 Bi 0.000 0.500 0.250 (multiplicity 4)
6 Bi 0.089 0.360 0.500 (multiplicity 8)

VASP energy = -98.4 eV for the cell shown
N(E_F) = 0.465 states/eV per atom
Formation energy = -0.20 eV per atom


Record 3
A relaxed Cs3Hg8Bi crystal. Source: Alexandria, functional PBE-GGA.

a b c (Å): 6.7896 6.7896 32.1029
angles (deg): 90.00 90.00 120.00
Space group R3m (No. 160, hexagonal axes)
Asymmetric unit:
1 Cs 0.0000 0.0000 0.0000 (multiplicity 3)
2 Cs 0.0000 0.0000 0.1276 (multiplicity 3)
3 Cs 0.0000 0.0000 0.6149 (multiplicity 3)
4 Hg 0.0000 0.0000 0.3117 (multiplicity 3)
5 Hg 0.0000 0.0000 0.8115 (multiplicity 3)
6 Hg 0.0034 0.5017 0.5595 (multiplicity 9)
7 Hg 0.0120 0.5060 0.0664 (multiplicity 9)
8 Bi 0.0000 0.0000 0.4910 (multiplicity 3)

VASP energy = -33.2 eV for the cell shown
N(E_F) = 0.496 states/eV per atom
Formation energy = -0.18 eV per atom


Record 4
A relaxed Cs2Hg7Bi crystal. Source: Alexandria, functional PBE-GGA.

a b c (Å): 11.926 11.926 11.926
angles (deg): 90.00 90.00 90.00
Space group Fm-3m (No. 225)
Asymmetric unit:
1 Cs 0.250 0.250 0.250 (multiplicity 8)
2 Hg 0.000 0.000 0.000 (multiplicity 4)
3 Hg 0.000 0.000 0.243 (multiplicity 24)
4 Bi 0.000 0.000 0.500 (multiplicity 4)

VASP energy = -34.9 eV for the cell shown
N(E_F) = 0.459 states/eV per atom
Formation energy = -0.10 eV per atom


Record 5
A relaxed Cs3Hg5Bi2 crystal. Source: Alexandria, functional PBE-GGA.

a b c (Å): 12.291 17.073 7.924
angles (deg): 90.00 90.00 90.00
Space group Ibam (No. 72)
Asymmetric unit:
1 Cs 0.000 0.000 0.250 (multiplicity 4)
2 Cs 0.221 0.376 0.000 (multiplicity 8)
3 Hg 0.000 0.228 0.250 (multiplicity 8)
4 Hg 0.000 0.500 0.250 (multiplicity 4)
5 Hg 0.092 0.357 0.500 (multiplicity 8)
6 Bi 0.157 0.158 0.000 (multiplicity 8)

VASP energy = -56.3 eV for the cell shown
N(E_F) = 0.218 states/eV per atom
Formation energy = -0.23 eV per atom


Record 6
A relaxed Cs3Hg2Bi3 crystal. Source: Alexandria, functional PBE-GGA.

a b c (Å): 5.186 14.595 19.688
angles (deg): 90.00 90.00 90.00
Space group Cmcm (No. 63)
Asymmetric unit:
1 Cs 0.000 0.015 0.250 (multiplicity 4)
2 Cs 0.000 0.342 0.096 (multiplicity 8)
3 Hg 0.000 0.383 0.626 (multiplicity 8)
4 Bi 0.000 0.080 0.051 (multiplicity 8)
5 Bi 0.000 0.268 0.750 (multiplicity 4)

VASP energy = -68.6 eV for the cell shown
N(E_F) = 0.065 states/eV per atom
Formation energy = -0.29 eV per atom


Record 7
A relaxed CsHg2Bi crystal. Source: Alexandria, functional PBE-GGA.

a b c (Å): 5.3663 5.3663 19.2665
angles (deg): 90.00 90.00 120.00
Space group R-3m (No. 166, hexagonal axes)
Asymmetric unit:
1 Cs 0.0000 0.0000 0.0000 (multiplicity 3)
2 Hg 0.0000 0.0000 0.2084 (multiplicity 6)
3 Bi 0.0000 0.0000 0.5000 (multiplicity 3)

VASP energy = -18.6 eV for the cell shown
N(E_F) = 0.374 states/eV per atom
Formation energy = -0.21 eV per atom


Record 8
A relaxed Cs2Hg10Bi crystal. Source: Alexandria, functional PBE-GGA.

a b c (Å): 7.517 19.992 7.099
angles (deg): 90.00 90.00 90.00
Space group Pbam (No. 55)
Asymmetric unit:
1 Cs 0.203 0.109 0.000 (multiplicity 4)
2 Hg 0.016 0.159 0.500 (multiplicity 4)
3 Hg 0.116 0.570 0.500 (multiplicity 4)
4 Hg 0.117 0.302 0.500 (multiplicity 4)
5 Hg 0.203 0.426 0.216 (multiplicity 8)
6 Bi 0.000 0.000 0.500 (multiplicity 2)

VASP energy = -20.3 eV for the cell shown
N(E_F) = 0.412 states/eV per atom
Formation energy = -0.12 eV per atom


Question: Which of these has the lowest VASP energy?
Answer: Cs3Hg2Bi5


Question: Which value of N(E_F) does entry 3 give?
Answer: 0.496 states/eV per atom